(1)
# TlSiPt2 | Alexandria | meta-GGA SCAN | single point on PBEsol structure
# Formation energy from raw total energies ... -0.09 eV/atom
data_TlSiPt2
_chemical_formula_sum 'Tl2 Si2 Pt4'
_symmetry_space_group_name_H-M 'I m m m'
_symmetry_Int_Tables_number 71
_symmetry_space_group_name_Hall '-I 2 2'
_cell_length_a 3.6876
_cell_length_b 5.5960
_cell_length_c 7.0350
_cell_angle_alpha 90.00
_cell_angle_beta 90.00
_cell_angle_gamma 90.00
loop_
_atom_site_label
_atom_site_fract_x
_atom_site_fract_y
_atom_site_fract_z
_atom_site_occupancy
Tl1 0.0000 0.0000 0.0000 1
Si1 0.0000 0.0000 0.5000 1
Pt1 0.0000 0.5000 0.2038 1

---

(2)
# Mg2AsRu | Alexandria | meta-GGA SCAN | single point on PBEsol structure
# Formation energy from the elements ... -179 meV per atom
data_Mg2AsRu
_chemical_formula_sum 'Mg2 As1 Ru1'
_symmetry_space_group_name_H-M 'P 4/m m m'
_symmetry_Int_Tables_number 123
_symmetry_space_group_name_Hall '-P 4 2'
_cell_length_a 4.0877
_cell_length_b 4.0877
_cell_length_c 3.7452
_cell_angle_alpha 90.00
_cell_angle_beta 90.00
_cell_angle_gamma 90.00
loop_
_atom_site_label
_atom_site_fract_x
_atom_site_fract_y
_atom_site_fract_z
_atom_site_occupancy
Mg1 0.0000 0.5000 0.0000 1
As1 0.0000 0.0000 0.5000 1
Ru1 0.5000 0.5000 0.5000 1

---

(3)
# U2ReB6 | Alexandria | meta-GGA SCAN | single point on PBEsol structure
# Formation energy from the elements ... -513 meV per atom
data_U2ReB6
_chemical_formula_sum 'U8 Re4 B24'
_symmetry_space_group_name_H-M 'P b a m'
_symmetry_Int_Tables_number 55
_symmetry_space_group_name_Hall '-P 2 2ab'
_cell_length_a 9.2121
_cell_length_b 11.2905
_cell_length_c 3.5989
_cell_angle_alpha 90.00
_cell_angle_beta 90.00
_cell_angle_gamma 90.00
loop_
_atom_site_label
_atom_site_fract_x
_atom_site_fract_y
_atom_site_fract_z
_atom_site_occupancy
U1 0.0438 0.1050 0.0000 1
U2 0.1646 0.4074 0.0000 1
Re1 0.1445 0.6797 0.0000 1
B1 0.0151 0.2815 0.5000 1
B2 0.0496 0.5666 0.5000 1
B3 0.1421 0.9607 0.5000 1
B4 0.1446 0.8120 0.5000 1
B5 0.1957 0.2275 0.5000 1
B6 0.2429 0.5761 0.5000 1

---

(4)
# TbSc | Alexandria | meta-GGA SCAN | single point on PBEsol structure
# Formation energy from the elements ... 51 meV per atom
data_TbSc
_chemical_formula_sum 'Tb1 Sc1'
_symmetry_space_group_name_H-M 'P -6 m 2'
_symmetry_Int_Tables_number 187
_symmetry_space_group_name_Hall 'P -6 2'
_cell_length_a 3.4181
_cell_length_b 3.4181
_cell_length_c 5.3124
_cell_angle_alpha 90.00
_cell_angle_beta 90.00
_cell_angle_gamma 120.00
loop_
_atom_site_label
_atom_site_fract_x
_atom_site_fract_y
_atom_site_fract_z
_atom_site_occupancy
Tb1 0.0000 0.0000 0.0000 1
Sc1 0.6667 0.3333 0.5000 1

---

(5)
# ZrScAl2 | Alexandria | meta-GGA SCAN | single point on PBEsol structure
# ΔE to the lowest computed polymorph ... 13 meV/atom
# Formation energy from the elements ... -453 meV per atom
data_ZrScAl2
_chemical_formula_sum 'Zr2 Sc2 Al4'
_symmetry_space_group_name_H-M 'A m m 2'
_symmetry_Int_Tables_number 38
_symmetry_space_group_name_Hall 'A 2 -2'
_cell_length_a 4.3113
_cell_length_b 3.2702
_cell_length_c 10.9436
_cell_angle_alpha 90.00
_cell_angle_beta 90.00
_cell_angle_gamma 90.00
loop_
_atom_site_label
_atom_site_fract_x
_atom_site_fract_y
_atom_site_fract_z
_atom_site_occupancy
Zr1 0.0000 0.0000 0.0000 1
Sc1 0.5000 0.0000 0.3255 1
Al1 0.0000 0.0000 0.7323 1
Al2 0.5000 0.0000 0.5918 1

---

(6)
# TmCdNi4 | Alexandria | meta-GGA SCAN | single point on PBEsol structure
# Formation energy from the elements ... -364 meV per atom
data_TmCdNi4
_chemical_formula_sum 'Tm4 Cd4 Ni16'
_symmetry_space_group_name_H-M 'F -4 3 m'
_symmetry_Int_Tables_number 216
_symmetry_space_group_name_Hall 'F -4 2 3'
_cell_length_a 6.8754
_cell_length_b 6.8754
_cell_length_c 6.8754
_cell_angle_alpha 90.00
_cell_angle_beta 90.00
_cell_angle_gamma 90.00
loop_
_atom_site_label
_atom_site_fract_x
_atom_site_fract_y
_atom_site_fract_z
_atom_site_occupancy
Tm1 0.0000 0.0000 0.0000 1
Cd1 0.2500 0.2500 0.2500 1
Ni1 0.1243 0.1243 0.6243 1

---

(7)
# LiFeSb2 | Alexandria | meta-GGA SCAN | single point on PBEsol structure
# ΔE to the lowest computed polymorph ... 63 meV/atom
# Formation energy from raw total energies ... 0.08 eV/atom
data_LiFeSb2
_chemical_formula_sum 'Li2 Fe2 Sb4'
_symmetry_space_group_name_H-M 'C 1 2/m 1'
_symmetry_Int_Tables_number 12
_symmetry_space_group_name_Hall '-C 2y'
_cell_length_a 6.2161
_cell_length_b 7.4671
_cell_length_c 3.1776
_cell_angle_alpha 90.00
_cell_angle_beta 96.98
_cell_angle_gamma 90.00
loop_
_atom_site_label
_atom_site_fract_x
_atom_site_fract_y
_atom_site_fract_z
_atom_site_occupancy
Li1 0.0000 0.0000 0.0000 1
Fe1 0.0000 0.5000 0.0000 1
Sb1 0.2500 0.2500 0.5000 1

---

(8)
# ReSe2Br | Alexandria | meta-GGA SCAN | single point on PBEsol structure
# ΔE to the lowest computed polymorph ... 168 meV/atom
# Formation energy from raw total energies ... 0.38 eV/atom
data_ReSe2Br
_chemical_formula_sum 'Re2 Se4 Br2'
_symmetry_space_group_name_H-M 'I m m 2'
_symmetry_Int_Tables_number 44
_symmetry_space_group_name_Hall 'I 2 -2'
_cell_length_a 3.1330
_cell_length_b 4.4892
_cell_length_c 12.2742
_cell_angle_alpha 90.00
_cell_angle_beta 90.00
_cell_angle_gamma 90.00
loop_
_atom_site_label
_atom_site_fract_x
_atom_site_fract_y
_atom_site_fract_z
_atom_site_occupancy
Re1 0.0000 0.0000 0.0000 1
Se1 0.0000 0.0000 0.4740 1
Se2 0.0000 0.5000 0.3449 1
Br1 0.0000 0.5000 0.6714 1

---

(9)
# Sr2AlBr | Alexandria | meta-GGA SCAN | single point on PBEsol structure
# ΔE to the lowest computed polymorph ... 0 meV/atom
# Formation energy from raw total energies ... -0.82 eV/atom
data_Sr2AlBr
_chemical_formula_sum 'Sr2 Al1 Br1'
_symmetry_space_group_name_H-M 'P 4/m m m'
_symmetry_Int_Tables_number 123
_symmetry_space_group_name_Hall '-P 4 2'
_cell_length_a 4.5605
_cell_length_b 4.5605
_cell_length_c 6.5292
_cell_angle_alpha 90.00
_cell_angle_beta 90.00
_cell_angle_gamma 90.00
loop_
_atom_site_label
_atom_site_fract_x
_atom_site_fract_y
_atom_site_fract_z
_atom_site_occupancy
Sr1 0.0000 0.0000 0.0000 1
Sr2 0.5000 0.5000 0.5000 1
Al1 0.0000 0.0000 0.5000 1
Br1 0.5000 0.5000 0.0000 1

---

(10)
# Mg2ZnAu2 | Alexandria | meta-GGA SCAN | single point on PBEsol structure
# Formation energy from the elements ... -565 meV per atom
data_Mg2ZnAu2
_chemical_formula_sum 'Mg4 Zn2 Au4'
_symmetry_space_group_name_H-M 'P 4/m b m'
_symmetry_Int_Tables_number 127
_symmetry_space_group_name_Hall '-P 4 2ab'
_cell_length_a 7.0106
_cell_length_b 7.0106
_cell_length_c 3.6882
_cell_angle_alpha 90.00
_cell_angle_beta 90.00
_cell_angle_gamma 90.00
loop_
_atom_site_label
_atom_site_fract_x
_atom_site_fract_y
_atom_site_fract_z
_atom_site_occupancy
Mg1 0.1571 0.3429 0.0000 1
Zn1 0.0000 0.0000 0.5000 1
Au1 0.1454 0.6454 0.5000 1

---

(11)
# ScSb2Mo | Alexandria | meta-GGA SCAN | single point on PBEsol structure
# ΔE to the lowest computed polymorph ... 187 meV/atom
# Formation energy from raw total energies ... 0.06 eV/atom
data_ScSb2Mo
_chemical_formula_sum 'Sc3 Sb6 Mo3'
_symmetry_space_group_name_H-M 'R 3 m'
_symmetry_Int_Tables_number 160
_symmetry_space_group_name_Hall 'R 3 -2"'
_cell_length_a 3.3083
_cell_length_b 3.3083
_cell_length_c 27.5237
_cell_angle_alpha 90.00
_cell_angle_beta 90.00
_cell_angle_gamma 120.00
loop_
_atom_site_label
_atom_site_fract_x
_atom_site_fract_y
_atom_site_fract_z
_atom_site_occupancy
Sc1 0.0000 0.0000 0.0000 1
Sb1 0.0000 0.0000 0.2459 1
Sb2 0.0000 0.0000 0.4785 1
Mo1 0.0000 0.0000 0.7424 1

---

(12)
# CaCo2Cl | Alexandria | meta-GGA SCAN | single point on PBEsol structure
# ΔE to the lowest computed polymorph ... 0 meV/atom
# Formation energy from raw total energies ... -0.04 eV/atom
data_CaCo2Cl
_chemical_formula_sum 'Ca2 Co4 Cl2'
_symmetry_space_group_name_H-M 'I 4/m m m'
_symmetry_Int_Tables_number 139
_symmetry_space_group_name_Hall '-I 4 2'
_cell_length_a 3.5612
_cell_length_b 3.5612
_cell_length_c 11.1413
_cell_angle_alpha 90.00
_cell_angle_beta 90.00
_cell_angle_gamma 90.00
loop_
_atom_site_label
_atom_site_fract_x
_atom_site_fract_y
_atom_site_fract_z
_atom_site_occupancy
Ca1 0.0000 0.0000 0.0000 1
Co1 0.0000 0.5000 0.2500 1
Cl1 0.0000 0.0000 0.5000 1

---

(13)
# Li4AsIr | Alexandria | meta-GGA SCAN | single point on PBEsol structure
# Formation energy from the elements ... -121 meV per atom
data_Li4AsIr
_chemical_formula_sum 'Li16 As4 Ir4'
_symmetry_space_group_name_H-M 'F -4 3 m'
_symmetry_Int_Tables_number 216
_symmetry_space_group_name_Hall 'F -4 2 3'
_cell_length_a 6.5952
_cell_length_b 6.5952
_cell_length_c 6.5952
_cell_angle_alpha 90.00
_cell_angle_beta 90.00
_cell_angle_gamma 90.00
loop_
_atom_site_label
_atom_site_fract_x
_atom_site_fract_y
_atom_site_fract_z
_atom_site_occupancy
Li1 0.1226 0.1226 0.1226 1
As1 0.0000 0.0000 0.5000 1
Ir1 0.2500 0.2500 0.7500 1

---

(14)
# SrYPd3 | Alexandria | meta-GGA SCAN | single point on PBEsol structure
# Formation energy from the elements ... -109 meV per atom
data_SrYPd3
_chemical_formula_sum 'Sr1 Y1 Pd3'
_symmetry_space_group_name_H-M 'P m -3 m'
_symmetry_Int_Tables_number 221
_symmetry_space_group_name_Hall '-P 4 2 3'
_cell_length_a 5.0638
_cell_length_b 5.0638
_cell_length_c 5.0638
_cell_angle_alpha 90.00
_cell_angle_beta 90.00
_cell_angle_gamma 90.00
loop_
_atom_site_label
_atom_site_fract_x
_atom_site_fract_y
_atom_site_fract_z
_atom_site_occupancy
Sr1 0.0000 0.0000 0.0000 1
Y1 0.5000 0.5000 0.5000 1
Pd1 0.0000 0.5000 0.5000 1

---

(15)
# KLiBr3 | Alexandria | meta-GGA SCAN | single point on PBEsol structure
# Formation energy from raw total energies ... -0.79 eV/atom
data_KLiBr3
_chemical_formula_sum 'K1 Li1 Br3'
_symmetry_space_group_name_H-M 'P m -3 m'
_symmetry_Int_Tables_number 221
_symmetry_space_group_name_Hall '-P 4 2 3'
_cell_length_a 5.9878
_cell_length_b 5.9878
_cell_length_c 5.9878
_cell_angle_alpha 90.00
_cell_angle_beta 90.00
_cell_angle_gamma 90.00
loop_
_atom_site_label
_atom_site_fract_x
_atom_site_fract_y
_atom_site_fract_z
_atom_site_occupancy
K1 0.0000 0.0000 0.0000 1
Li1 0.5000 0.5000 0.5000 1
Br1 0.0000 0.0000 0.5000 1

---

(16)
# BeCd2As | Alexandria | meta-GGA SCAN | single point on PBEsol structure
# ΔE to the lowest computed polymorph ... 28 meV/atom
# Formation energy from the elements ... 437 meV per atom
data_BeCd2As
_chemical_formula_sum 'Be1 Cd2 As1'
_symmetry_space_group_name_H-M 'P m m m'
_symmetry_Int_Tables_number 47
_symmetry_space_group_name_Hall '-P 2 2'
_cell_length_a 2.7641
_cell_length_b 5.1195
_cell_length_c 5.1372
_cell_angle_alpha 90.00
_cell_angle_beta 90.00
_cell_angle_gamma 90.00
loop_
_atom_site_label
_atom_site_fract_x
_atom_site_fract_y
_atom_site_fract_z
_atom_site_occupancy
Be1 0.0000 0.0000 0.0000 1
Cd1 0.0000 0.5000 0.5000 1
Cd2 0.5000 0.0000 0.5000 1
As1 0.5000 0.5000 0.0000 1

---

(17)
# SrYRh2 | Alexandria | meta-GGA SCAN | single point on PBEsol structure
# Formation energy from the elements ... -544 meV per atom
data_SrYRh2
_chemical_formula_sum 'Sr1 Y1 Rh2'
_symmetry_space_group_name_H-M 'P 4/m m m'
_symmetry_Int_Tables_number 123
_symmetry_space_group_name_Hall '-P 4 2'
_cell_length_a 3.4224
_cell_length_b 3.4224
_cell_length_c 7.0986
_cell_angle_alpha 90.00
_cell_angle_beta 90.00
_cell_angle_gamma 90.00
loop_
_atom_site_label
_atom_site_fract_x
_atom_site_fract_y
_atom_site_fract_z
_atom_site_occupancy
Sr1 0.0000 0.0000 0.0000 1
Y1 0.0000 0.0000 0.5000 1
Rh1 0.5000 0.5000 0.2826 1

---

(18)
# Be2CuAu | Alexandria | meta-GGA SCAN | single point on PBEsol structure
# Formation energy from the elements ... -236 meV per atom
data_Be2CuAu
_chemical_formula_sum 'Be2 Cu1 Au1'
_symmetry_space_group_name_H-M 'P 4/m m m'
_symmetry_Int_Tables_number 123
_symmetry_space_group_name_Hall '-P 4 2'
_cell_length_a 2.8331
_cell_length_b 2.8331
_cell_length_c 5.4973
_cell_angle_alpha 90.00
_cell_angle_beta 90.00
_cell_angle_gamma 90.00
loop_
_atom_site_label
_atom_site_fract_x
_atom_site_fract_y
_atom_site_fract_z
_atom_site_occupancy
Be1 0.0000 0.0000 0.2193 1
Cu1 0.5000 0.5000 0.0000 1
Au1 0.5000 0.5000 0.5000 1

---

(19)
# LuGeRh | Alexandria | meta-GGA SCAN | single point on PBEsol structure
# Formation energy from the elements ... -1161 meV per atom
data_LuGeRh
_chemical_formula_sum 'Lu4 Ge4 Rh4'
_symmetry_space_group_name_H-M 'P n m a'
_symmetry_Int_Tables_number 62
_symmetry_space_group_name_Hall '-P 2ac 2n'
_cell_length_a 6.6789
_cell_length_b 4.2000
_cell_length_c 7.4157
_cell_angle_alpha 90.00
_cell_angle_beta 90.00
_cell_angle_gamma 90.00
loop_
_atom_site_label
_atom_site_fract_x
_atom_site_fract_y
_atom_site_fract_z
_atom_site_occupancy
Lu1 0.0057 0.2500 0.1953 1
Ge1 0.2159 0.7500 0.3909 1
Rh1 0.1569 0.2500 0.5651 1

---

(20)
# HfGeC3 | Alexandria | meta-GGA SCAN | single point on PBEsol structure
# Formation energy from the elements ... 2118 meV per atom
data_HfGeC3
_chemical_formula_sum 'Hf1 Ge1 C3'
_symmetry_space_group_name_H-M 'P m -3 m'
_symmetry_Int_Tables_number 221
_symmetry_space_group_name_Hall '-P 4 2 3'
_cell_length_a 4.2445
_cell_length_b 4.2445
_cell_length_c 4.2445
_cell_angle_alpha 90.00
_cell_angle_beta 90.00
_cell_angle_gamma 90.00
loop_
_atom_site_label
_atom_site_fract_x
_atom_site_fract_y
_atom_site_fract_z
_atom_site_occupancy
Hf1 0.0000 0.0000 0.0000 1
Ge1 0.5000 0.5000 0.5000 1
C1 0.0000 0.0000 0.5000 1